(1)
DFT (PBE) results for TlTc2W after structural relaxation.

a = 4.5445 Å, b = 4.5445 Å, c = 4.5445 Å
α = 60.00°, β = 60.00°, γ = 60.00°
Sites, in units of the cell vectors:
Tc 0.7500 0.7500 0.7500
Tc 0.2500 0.2500 0.2500
Tl 0.5000 0.5000 0.5000
W 0.0000 0.0000 0.0000

Summary:
The calculation puts the calculated volume at 66 Å³ per cell. For the size of the total moment, the calculation gives 0.0 Bohr magnetons per cell. The energy relative to the lowest polymorph listed for this composition comes out at 142 meV/atom. Its density of states at the Fermi level is 1.073 states/eV per atom. The calculation puts the energy of formation from the pure elements at 0.508 eV/atom.

***

(2)
DFT (PBE) results for TlTc2W after structural relaxation.

a = 4.8595 Å, b = 4.8595 Å, c = 5.0490 Å
α = 76.63°, β = 76.63°, γ = 36.41°
Sites, in units of the cell vectors:
Tc 0.5193 0.5193 0.4602
Tl 0.7500 0.7500 0.7500
Tc 0.9807 0.9807 0.0398
W 0.2500 0.2500 0.2500

Summary:
The calculation puts the calculated volume at 69 Å³ per cell. For the size of the total moment, the calculation gives 0.0 Bohr magnetons per cell. The energy relative to the lowest polymorph listed for this composition comes out at 193 meV/atom. Its density of states at the Fermi level is 0.749 states/eV per atom. The calculation puts the energy of formation from the pure elements at 0.558 eV/atom.